(1)
Computed, not measured: an optimized crystal structure of Pa3Ga3Tc2Rh at the PBE level of DFT.

Its magnetization is 0.00 μB per formula unit. For the energy, the calculation gives -7.860 eV/atom. For the density of states at the Fermi level, the calculation gives 0.91 states/eV per atom. Its volume is 171 Å³ per cell. For the formation enthalpy at 0 K, the calculation gives -0.565 eV/atom.

Unit cell a=4.033 b=7.002 c=7.002 alpha=120.00 beta=90.00 gamma=90.00
Positions (direct):
Pa 0.000 0.000 0.423
Pa 0.000 0.577 0.577
Pa 0.000 0.423 0.000
Ga 0.500 0.763 0.000
Ga 0.500 0.237 0.237
Ga 0.500 0.000 0.763
Tc 0.500 0.333 0.667
Tc 0.500 0.667 0.333
Rh 0.000 0.000 0.000



(2)
Computed, not measured: an optimized crystal structure of Sc2SnPd at the PBE level of DFT.

Its magnetization is 0.01 μB per formula unit. For the energy, the calculation gives -6.181 eV/atom. For the density of states at the Fermi level, the calculation gives 0.79 states/eV per atom. Its volume is 81 Å³ per cell. For the formation enthalpy at 0 K, the calculation gives -0.717 eV/atom.

Unit cell a=3.898 b=4.561 c=4.561 alpha=90.00 beta=90.00 gamma=90.00
Positions (direct):
Sc 0.000 0.000 0.500
Sc 0.000 0.500 0.000
Sn 0.500 0.000 0.000
Pd 0.500 0.500 0.500



(3)
Computed, not measured: an optimized crystal structure of TaCuAsSe2 at the PBE level of DFT.

For the uncorrected formation energy, the calculation gives 0.8532 eV per atom. Its magnetization is 0.00 μB per formula unit. For the energy, the calculation gives -4.660 eV/atom. For the density of states at the Fermi level, the calculation gives 1.06 states/eV per atom. Its volume is 100 Å³ per cell.

Unit cell a=4.653 b=4.653 c=4.621 alpha=90.00 beta=90.00 gamma=90.00
Positions (direct):
As 0.000 0.000 0.500
Cu 0.000 0.000 0.000
Se 0.000 0.500 0.000
Se 0.500 0.000 0.000
Ta 0.500 0.500 0.500



(4)
Computed, not measured: an optimized crystal structure of Zn2InRu at the PBE level of DFT.

Its magnetization is 0.00 μB per formula unit. For the energy, the calculation gives -3.381 eV/atom. For the density of states at the Fermi level, the calculation gives 0.54 states/eV per atom. Its volume is 143 Å³ per cell. For the formation enthalpy at 0 K, the calculation gives 0.260 eV/atom.

Unit cell a=3.903 b=3.903 c=9.790 alpha=78.50 beta=78.50 gamma=90.00
Positions (direct):
Ru 0.500 0.500 0.000
Ru 0.250 0.750 0.500
Zn 0.574 0.125 0.250
Zn 0.176 0.625 0.250
Zn 0.375 0.426 0.750
Zn 0.875 0.824 0.750
In 0.000 0.000 0.000
In 0.750 0.250 0.500



(5)
Computed, not measured: an optimized crystal structure of Tm5PdPt4 at the PBE level of DFT.

Its magnetization is 0.00 μB per formula unit. For the energy, the calculation gives -6.388 eV/atom. For the density of states at the Fermi level, the calculation gives 0.63 states/eV per atom. Its volume is 206 Å³ per cell. For the formation enthalpy at 0 K, the calculation gives -1.217 eV/atom.

Unit cell a=3.443 b=3.443 c=17.341 alpha=90.00 beta=90.00 gamma=90.00
Positions (direct):
Tm 0.500 0.500 0.102
Tm 0.500 0.500 0.301
Tm 0.500 0.500 0.500
Tm 0.500 0.500 0.699
Tm 0.500 0.500 0.898
Pd 0.000 0.000 0.000
Pt 0.000 0.000 0.200
Pt 0.000 0.000 0.400
Pt 0.000 0.000 0.600
Pt 0.000 0.000 0.800



(6)
Computed, not measured: an optimized crystal structure of LaNd5Th2 at the PBE level of DFT.

Its magnetization is 0.00 μB per formula unit. For the energy, the calculation gives -5.350 eV/atom. For the density of states at the Fermi level, the calculation gives 1.53 states/eV per atom. Its volume is 281 Å³ per cell. For the formation enthalpy at 0 K, the calculation gives 0.101 eV/atom.

Unit cell a=3.598 b=11.484 c=9.081 alpha=129.22 beta=101.43 gamma=90.00
Positions (direct):
La 0.000 0.000 0.000
Nd 0.000 0.500 0.000
Nd 0.631 0.400 0.263
Nd 0.369 0.600 0.737
Nd 0.631 0.863 0.263
Nd 0.369 0.137 0.737
Th 0.260 0.760 0.521
Th 0.740 0.240 0.479



(7)
Computed, not measured: an optimized crystal structure of La3Sb4Rh7 at the PBE level of DFT.

For the uncorrected formation energy, the calculation gives -0.7777 eV per atom. Its magnetization is 0.00 μB per formula unit. For the energy, the calculation gives -6.687 eV/atom. For the density of states at the Fermi level, the calculation gives 0.61 states/eV per atom. Its volume is 288 Å³ per cell.

Unit cell a=4.386 b=8.677 c=8.522 alpha=69.20 beta=75.09 gamma=75.36
Positions (direct):
La 0.336 0.175 0.154
La 0.664 0.825 0.846
La 0.000 0.500 0.500
Sb 0.674 0.459 0.194
Sb 0.326 0.541 0.806
Sb 0.882 0.889 0.347
Sb 0.118 0.111 0.653
Rh 0.302 0.839 0.556
Rh 0.502 0.220 0.775
Rh 0.868 0.362 0.902
Rh 0.698 0.161 0.444
Rh 0.132 0.638 0.098
Rh 0.000 0.000 0.000
Rh 0.498 0.780 0.225



(8)
Computed, not measured: an optimized crystal structure of TbScW2N6 at the PBE level of DFT.

For the uncorrected formation energy, the calculation gives -0.9559 eV per atom. Its magnetization is 0.00 μB per formula unit. For the energy, the calculation gives -9.638 eV/atom. For the density of states at the Fermi level, the calculation gives 0.00 states/eV per atom. Its volume is 308 Å³ per cell.

Unit cell a=6.259 b=7.431 c=7.431 alpha=79.97 beta=71.09 gamma=71.09
Positions (direct):
Tb 0.250 0.903 0.097
Tb 0.750 0.097 0.903
Sc 0.250 0.271 0.729
Sc 0.750 0.729 0.271
W 0.316 0.791 0.622
W 0.184 0.378 0.209
W 0.684 0.209 0.378
W 0.816 0.622 0.791
N 0.172 0.996 0.778
N 0.328 0.222 0.004
N 0.828 0.004 0.222
N 0.672 0.778 0.996
N 0.353 0.870 0.373
N 0.147 0.627 0.130
N 0.647 0.130 0.627
N 0.853 0.373 0.870
N 0.138 0.606 0.684
N 0.362 0.316 0.394
N 0.862 0.394 0.316
N 0.638 0.684 0.606



(9)
Computed, not measured: an optimized crystal structure of La4Tb3TmS8 at the PBE level of DFT.

For the uncorrected formation energy, the calculation gives -2.0824 eV per atom. Its magnetization is 0.00 μB per formula unit. For the energy, the calculation gives -6.526 eV/atom. For the density of states at the Fermi level, the calculation gives 0.53 states/eV per atom. Its volume is 371 Å³ per cell.

Unit cell a=8.007 b=8.119 c=8.007 alpha=119.55 beta=120.00 gamma=90.00
Positions (direct):
La 0.500 0.000 0.000
La 0.500 0.000 0.500
La 0.000 0.000 0.000
La 0.000 0.000 0.500
Tb 0.500 0.500 0.000
Tb 0.500 0.500 0.500
Tb 0.000 0.500 0.500
Tm 0.000 0.500 0.000
S 0.241 0.728 0.988
S 0.241 0.728 0.481
S 0.256 0.269 0.513
S 0.747 0.728 0.988
S 0.253 0.272 0.012
S 0.744 0.731 0.487
S 0.759 0.272 0.519
S 0.759 0.272 0.012



(10)
Computed, not measured: an optimized crystal structure of Tc5Ge6Mo at the PBE level of DFT.

Its magnetization is 0.00 μB per formula unit. For the energy, the calculation gives -7.460 eV/atom. For the density of states at the Fermi level, the calculation gives 1.10 states/eV per atom. Its volume is 181 Å³ per cell. For the formation enthalpy at 0 K, the calculation gives 0.070 eV/atom.

Unit cell a=8.192 b=5.145 c=5.106 alpha=59.75 beta=83.70 gamma=77.42
Positions (direct):
Tc 0.500 0.160 0.679
Tc 0.000 0.328 0.344
Tc 0.500 0.500 0.000
Tc 0.000 0.672 0.656
Tc 0.500 0.840 0.321
Ge 0.744 0.087 0.339
Ge 0.256 0.574 0.339
Ge 0.247 0.263 0.000
Ge 0.753 0.737 0.000
Ge 0.744 0.426 0.661
Ge 0.256 0.913 0.661
Mo 0.000 0.000 0.000



(11)
Computed, not measured: an optimized crystal structure of CePuBr4 at the PBE level of DFT.

For the uncorrected formation energy, the calculation gives -1.4756 eV per atom. Its magnetization is 8.00 μB per formula unit. For the energy, the calculation gives -5.969 eV/atom. For the density of states at the Fermi level, the calculation gives 2.73 states/eV per atom. Its volume is 211 Å³ per cell.

Unit cell a=5.954 b=5.954 c=7.283 alpha=114.12 beta=114.12 gamma=90.00
Positions (direct):
Ce 0.500 0.500 0.000
Pu 0.250 0.750 0.500
Br 0.999 0.499 0.998
Br 0.752 0.752 0.505
Br 0.501 0.001 0.002
Br 0.248 0.248 0.495



(12)
Computed, not measured: an optimized crystal structure of K3Ga2P2 at the PBE level of DFT.

Its magnetization is 0.00 μB per formula unit. For the energy, the calculation gives -3.265 eV/atom. For the density of states at the Fermi level, the calculation gives 0.33 states/eV per atom. Its volume is 199 Å³ per cell. For the formation enthalpy at 0 K, the calculation gives -0.385 eV/atom.

Unit cell a=5.307 b=3.946 c=10.071 alpha=101.30 beta=105.28 gamma=90.00
Positions (direct):
K 0.000 0.000 0.000
K 0.187 0.687 0.374
K 0.813 0.313 0.626
Ga 0.564 0.564 0.128
Ga 0.436 0.436 0.872
P 0.634 0.134 0.268
P 0.366 0.866 0.732



(13)
Computed, not measured: an optimized crystal structure of AgAsIr2 at the PBE level of DFT.

Its magnetization is 0.00 μB per formula unit. For the energy, the calculation gives -5.988 eV/atom. For the density of states at the Fermi level, the calculation gives 0.68 states/eV per atom. Its volume is 63 Å³ per cell. For the formation enthalpy at 0 K, the calculation gives 0.317 eV/atom.

Unit cell a=4.672 b=4.672 c=4.988 alpha=79.98 beta=79.98 gamma=36.06
Positions (direct):
As 0.250 0.250 0.250
Ir 0.993 0.993 0.015
Ir 0.507 0.507 0.485
Ag 0.750 0.750 0.750



(14)
Computed, not measured: an optimized crystal structure of RbCuB2 at the PBE level of DFT.

Its magnetization is 0.00 μB per formula unit. For the energy, the calculation gives -3.601 eV/atom. For the density of states at the Fermi level, the calculation gives 0.08 states/eV per atom. Its volume is 160 Å³ per cell. For the formation enthalpy at 0 K, the calculation gives 1.004 eV/atom.

Unit cell a=5.477 b=5.477 c=6.592 alpha=65.45 beta=65.45 gamma=90.00
Positions (direct):
B 0.375 0.125 0.250
B 0.375 0.625 0.250
B 0.375 0.625 0.750
B 0.875 0.625 0.750
Cu 0.500 0.500 0.000
Cu 0.250 0.750 0.500
Rb 0.000 0.000 0.000
Rb 0.750 0.250 0.500



(15)
Computed, not measured: an optimized crystal structure of CdW4Se at the PBE level of DFT.

For the uncorrected formation energy, the calculation gives 0.8543 eV per atom. Its magnetization is 0.00 μB per formula unit. For the energy, the calculation gives -8.514 eV/atom. For the density of states at the Fermi level, the calculation gives 0.63 states/eV per atom. Its volume is 111 Å³ per cell.

Unit cell a=5.388 b=5.388 c=5.388 alpha=60.00 beta=60.00 gamma=60.00
Positions (direct):
Cd 0.750 0.750 0.750
W 0.872 0.376 0.376
W 0.376 0.376 0.872
W 0.376 0.872 0.376
W 0.376 0.376 0.376
Se 0.000 0.000 0.000



(16)
Computed, not measured: an optimized crystal structure of CaBiAs2Br at the PBE level of DFT.

For the uncorrected formation energy, the calculation gives 0.2345 eV per atom. Its magnetization is 0.00 μB per formula unit. For the energy, the calculation gives -3.136 eV/atom. For the density of states at the Fermi level, the calculation gives 1.04 states/eV per atom. Its volume is 160 Å³ per cell.

Unit cell a=5.545 b=5.545 c=5.215 alpha=90.00 beta=90.00 gamma=90.00
Positions (direct):
As 0.000 0.500 0.000
As 0.500 0.000 0.000
Ca 0.000 0.000 0.000
Bi 0.500 0.500 0.500
Br 0.000 0.000 0.500



(17)
Computed, not measured: an optimized crystal structure of CsTmBe2Cl8 at the PBE level of DFT.

For the uncorrected formation energy, the calculation gives -1.8095 eV per atom. Its magnetization is 0.00 μB per formula unit. For the energy, the calculation gives -4.105 eV/atom. For the density of states at the Fermi level, the calculation gives 0.00 states/eV per atom. Its volume is 345 Å³ per cell.

Unit cell a=6.242 b=6.242 c=10.843 alpha=73.27 beta=73.27 gamma=60.00
Positions (direct):
Cs 0.500 0.500 0.500
Tm 0.000 0.000 0.000
Be 0.259 0.259 0.222
Be 0.741 0.741 0.778
Cl 0.196 0.196 0.413
Cl 0.598 0.275 0.152
Cl 0.804 0.804 0.587
Cl 0.975 0.598 0.152
Cl 0.025 0.402 0.848
Cl 0.275 0.975 0.152
Cl 0.725 0.025 0.848
Cl 0.402 0.725 0.848



(18)
Computed, not measured: an optimized crystal structure of CaFeNi2 at the PBE level of DFT.

Its magnetization is 3.51 μB per formula unit. For the energy, the calculation gives -5.229 eV/atom. For the density of states at the Fermi level, the calculation gives 0.90 states/eV per atom. Its volume is 60 Å³ per cell. For the formation enthalpy at 0 K, the calculation gives 0.278 eV/atom.

Unit cell a=5.409 b=5.409 c=5.409 alpha=149.70 beta=130.92 gamma=58.77
Positions (direct):
Ni 0.000 0.000 0.000
Ni 0.779 0.279 0.500
Ca 0.504 0.504 0.000
Fe 0.218 0.718 0.500



(19)
Computed, not measured: an optimized crystal structure of Sc2AgMo2 at the PBE level of DFT.

Its magnetization is 0.00 μB per formula unit. For the energy, the calculation gives -7.159 eV/atom. For the density of states at the Fermi level, the calculation gives 0.76 states/eV per atom. Its volume is 105 Å³ per cell. For the formation enthalpy at 0 K, the calculation gives 0.276 eV/atom.

Unit cell a=8.488 b=8.488 c=8.488 alpha=155.53 beta=155.53 gamma=34.88
Positions (direct):
Sc 0.605 0.605 0.000
Sc 0.395 0.395 0.000
Ag 0.000 0.000 0.000
Mo 0.250 0.750 0.500
Mo 0.750 0.250 0.500



(20)
Computed, not measured: an optimized crystal structure of PaCuSi3 at the PBE level of DFT.

For the uncorrected formation energy, the calculation gives -0.3113 eV per atom. Its magnetization is 0.00 μB per formula unit. For the energy, the calculation gives -6.284 eV/atom. For the density of states at the Fermi level, the calculation gives 0.87 states/eV per atom. Its volume is 171 Å³ per cell.

Unit cell a=4.050 b=4.075 c=10.572 alpha=101.11 beta=90.00 gamma=90.00
Positions (direct):
Pa 0.500 0.831 0.662
Pa 0.500 0.169 0.338
Cu 0.000 0.612 0.224
Cu 0.000 0.388 0.776
Si 0.000 0.056 0.112
Si 0.000 0.944 0.888
Si 0.000 0.278 0.555
Si 0.000 0.722 0.445
Si 0.500 0.444 0.887
Si 0.500 0.556 0.113